1.
TlCo2As, relaxed, DFT PBE; SG = C2/m, No. 12; polymorph energy (0 for the lowest one) = 0 meV per atom
1.0
3.7875 -0.0022 0.0015
1.9671 3.2366 0.0015
3.2280 1.8143 5.5461
As Co Tl
1 2 1
Cartesian
2.2456 1.2622 1.3873 As
0.3533 0.1986 0.5910 Co
4.1380 2.3258 2.1836 Co
6.7369 3.7865 4.1619 Tl

2.
NbGa2Au, relaxed, DFT PBE; SG = Fm-3m, No. 225; polymorph energy (0 for the lowest one) = 308 meV per atom
1.0
3.2280 -1.8487 2.6468
2.9698 2.6867 2.1921
-0.2395 0.4413 4.5378
Nb Au Ga
1 1 2
Cartesian
0.0000 0.0000 0.0000 Nb
2.9791 0.6397 4.6884 Au
1.4896 0.3198 2.3442 Ga
4.4687 0.9595 7.0326 Ga

3.
Pr9Sm2Y, relaxed, DFT PBE; SG = P4/mmm, No. 123
1.0
5.2171 0.0000 0.0000
0.0000 5.2171 0.0000
0.0000 0.0000 15.6467
Pr Sm Y
9 2 1
Cartesian
2.6086 0.0000 7.8233 Pr
2.6086 2.6086 5.2118 Pr
2.6086 0.0000 13.0447 Pr
0.0000 2.6086 2.6019 Pr
2.6086 2.6086 0.0000 Pr
2.6086 2.6086 10.4349 Pr
0.0000 2.6086 13.0447 Pr
0.0000 2.6086 7.8233 Pr
2.6086 0.0000 2.6019 Pr
0.0000 0.0000 5.2062 Sm
0.0000 0.0000 10.4405 Sm
0.0000 0.0000 0.0000 Y

4.
Sc2Mn2Os, relaxed, DFT PBE; SG = P4/mbm, No. 127; polymorph energy (0 for the lowest one) = 0 meV per atom
1.0
-2.7412 -4.7122 -2.7662
3.3082 -3.8944 3.3556
-3.0738 0.0055 3.0367
Sc Os Mn
4 2 4
Cartesian
0.2202 -3.5075 3.3032 Sc
-2.7270 -5.0935 0.3229 Sc
-0.6980 -6.3962 2.3791 Sc
-1.8089 -2.2048 1.2471 Sc
0.0000 0.0000 0.0000 Os
0.2835 -4.3033 0.2947 Os
-0.3442 -6.5589 -0.3366 Mn
1.8680 -5.1935 1.9002 Mn
-1.3010 -3.4130 -1.3107 Mn
0.9112 -2.0476 0.9260 Mn

5.
GaMo, relaxed, DFT PBE; SG = P4/nmm, No. 129; polymorph energy (0 for the lowest one) = 0 meV per atom
1.0
-0.0534 0.1253 -3.2966
-2.9979 -1.3779 -0.0038
-2.3887 5.1965 0.2362
Mo Ga
2 2
Cartesian
-2.1355 4.6501 -1.4398 Mo
-1.7789 -0.0800 0.0258 Mo
-2.9844 2.5426 0.1450 Ga
-0.9300 2.0276 -1.5590 Ga

Here are the calculated density numbers, same order: 9.7, 10.6, 6.5, 8.0, 8.8 (g/cm³).
Here are the calculated energy of formation numbers, same order: 15.4, 2.2, 1.2, -8.4, -8.4 (kJ/mol of atoms).